No. 1
Compound: La3PtPbCl
Source: Alexandria via LeMat-Bulk
Functional: GGA-PBE
Structure: relaxed

Output
* calculated density: 7.86 Mg/m³
* E_form (uncorrected): -1.07 eV per atom

Cell lengths 7.9627, 4.6409, 10.3434 Å; angles 90.00, 109.17, 90.00 degrees
Fractional positions:
La 0.0275 0.2500 0.3467
La 0.2162 0.2500 0.9778
La 0.4348 0.7500 0.6209
La 0.5652 0.2500 0.3791
La 0.7838 0.7500 0.0222
La 0.9725 0.7500 0.6533
Pt 0.2115 0.2500 0.6350
Pt 0.7885 0.7500 0.3650
Pb 0.2393 0.7500 0.2222
Pb 0.7607 0.2500 0.7778
Cl 0.3753 0.7500 0.8918
Cl 0.6247 0.2500 0.1082


No. 2
Compound: RbLaPbCl6
Source: Alexandria via LeMat-Bulk
Functional: GGA-PBE
Structure: relaxed

Output
* calculated density: 3.10 Mg/m³
* E_form (uncorrected): -1.91 eV per atom

Cell lengths 7.5516, 7.5516, 13.9753 Å; angles 90.00, 90.00, 120.00 degrees
Fractional positions:
Rb 0.0000 0.0000 0.0000
Rb 0.0000 0.0000 0.5000
La 0.3333 0.6667 0.2500
La 0.6667 0.3333 0.7500
Pb 0.3333 0.6667 0.7500
Pb 0.6667 0.3333 0.2500
Cl 0.0116 0.3741 0.1380
Cl 0.0116 0.6375 0.3620
Cl 0.3625 0.3741 0.3620
Cl 0.3625 0.9884 0.1380
Cl 0.3741 0.0116 0.6380
Cl 0.3741 0.3625 0.8620
Cl 0.6259 0.6375 0.1380
Cl 0.6259 0.9884 0.3620
Cl 0.6375 0.0116 0.8620
Cl 0.6375 0.6259 0.6380
Cl 0.9884 0.3625 0.6380
Cl 0.9884 0.6259 0.8620


No. 3
Compound: LaPbS2Cl
Source: Alexandria via LeMat-Bulk
Functional: GGA-PBE
Structure: relaxed

Output
* calculated density: 4.33 Mg/m³
* E_form (uncorrected): -1.05 eV per atom
* excess energy over the best structure of this formula in the dataset: 0.00 eV per formula unit

Cell lengths 5.6293, 5.6293, 5.3891 Å; angles 90.00, 90.00, 90.00 degrees
Fractional positions:
La 0.0000 0.0000 0.0000
Pb 0.5000 0.5000 0.5000
S 0.0000 0.5000 0.0000
S 0.5000 0.0000 0.0000
Cl 0.0000 0.0000 0.5000


No. 4
Compound: LaPbSCl2
Source: Alexandria via LeMat-Bulk
Functional: GGA-PBE
Structure: relaxed

Output
* calculated density: 3.93 Mg/m³
* E_form (uncorrected): -1.21 eV per atom

Cell lengths 5.7482, 5.7482, 5.7499 Å; angles 90.00, 90.00, 90.00 degrees
Fractional positions:
La 0.0000 0.0000 0.0000
Pb 0.5000 0.5000 0.5000
S 0.0000 0.0000 0.5000
Cl 0.0000 0.5000 0.0000
Cl 0.5000 0.0000 0.0000


No. 5
Compound: LaPbS2Cl
Source: Alexandria via LeMat-Bulk
Functional: GGA-PBE
Structure: relaxed

Output
* calculated density: 4.94 Mg/m³
* E_form (uncorrected): -0.68 eV per atom
* excess energy over the best structure of this formula in the dataset: 1.86 eV per formula unit

Cell lengths 5.3648, 5.3648, 5.2081 Å; angles 90.00, 90.00, 90.00 degrees
Fractional positions:
La 0.0000 0.0000 0.0000
Pb 0.5000 0.5000 0.5000
S 0.0000 0.5000 0.5000
S 0.5000 0.0000 0.5000
Cl 0.5000 0.5000 0.0000


No. 6
Compound: LaPbS2Cl
Source: Alexandria via LeMat-Bulk
Functional: GGA-PBE
Structure: relaxed

Output
* calculated density: 5.53 Mg/m³
* E_form (uncorrected): -0.07 eV per atom
* excess energy over the best structure of this formula in the dataset: 4.91 eV per formula unit

Cell lengths 5.1200, 5.1200, 5.1055 Å; angles 90.00, 90.00, 90.00 degrees
Fractional positions:
La 0.0000 0.0000 0.0000
Pb 0.5000 0.5000 0.0000
S 0.0000 0.5000 0.5000
S 0.5000 0.0000 0.5000
Cl 0.5000 0.5000 0.5000


No. 7
Compound: La3SbPbCl
Source: Alexandria via LeMat-Bulk
Functional: GGA-PBE
Structure: relaxed

Output
* calculated density: 6.21 Mg/m³
* E_form (uncorrected): -1.07 eV per atom

Cell lengths 9.2405, 4.6277, 10.0447 Å; angles 90.00, 103.43, 90.00 degrees
Fractional positions:
La 0.0858 0.2500 0.3384
La 0.2627 0.2500 0.0018
La 0.4006 0.7500 0.6308
La 0.5994 0.2500 0.3692
La 0.7373 0.7500 0.9982
La 0.9142 0.7500 0.6616
Sb 0.1595 0.2500 0.6647
Sb 0.8405 0.7500 0.3353
Pb 0.3211 0.7500 0.2742
Pb 0.6789 0.2500 0.7258
Cl 0.4062 0.7500 0.9163
Cl 0.5938 0.2500 0.0837


No. 8
Compound: La3PbSeCl
Source: Alexandria via LeMat-Bulk
Functional: GGA-PBE
Structure: relaxed

Output
* calculated density: 6.54 Mg/m³
* E_form (uncorrected): -1.35 eV per atom

Cell lengths 8.2284, 4.5489, 10.7106 Å; angles 90.00, 110.82, 90.00 degrees
Fractional positions:
La 0.1824 0.2500 0.1154
La 0.2068 0.2500 0.4948
La 0.3152 0.7500 0.8297
La 0.6848 0.2500 0.1703
La 0.7932 0.7500 0.5052
La 0.8176 0.7500 0.8846
Pb 0.0015 0.2500 0.7386
Pb 0.9985 0.7500 0.2614
Se 0.4235 0.7500 0.1244
Se 0.5765 0.2500 0.8756
Cl 0.4606 0.7500 0.6061
Cl 0.5394 0.2500 0.3939


No. 9
Compound: La4PbSe2Cl
Source: Alexandria via LeMat-Bulk
Functional: GGA-PBE
Structure: relaxed

Output
* calculated density: 6.56 Mg/m³
* E_form (uncorrected): -1.54 eV per atom

Cell lengths 8.8067, 8.8067, 8.8067 Å; angles 120.31, 119.45, 90.21 degrees
Fractional positions:
La 0.2539 0.2404 0.4865
La 0.2539 0.7674 0.0135
La 0.2554 0.2436 0.0118
La 0.2682 0.7564 0.5118
La 0.7318 0.2436 0.4882
La 0.7446 0.7564 0.9882
La 0.7461 0.2326 0.9865
La 0.7461 0.7596 0.5135
Pb 0.0000 0.5000 0.5000
Pb 0.5000 0.5000 0.0000
Se 0.0000 0.0000 0.0000
Se 0.5000 0.0000 0.0000
Se 0.5000 0.0000 0.5000
Se 0.5000 0.5000 0.5000
Cl 0.0000 0.0000 0.5000
Cl 0.0000 0.5000 0.0000


No. 10
Compound: La2TePbCl
Source: Alexandria via LeMat-Bulk
Functional: GGA-PBE
Structure: relaxed

Output
* calculated density: 6.20 Mg/m³
* E_form (uncorrected): -0.50 eV per atom

Cell lengths 5.4054, 5.4054, 5.9421 Å; angles 90.00, 90.00, 90.00 degrees
Fractional positions:
La 0.0000 0.5000 0.0000
La 0.5000 0.0000 0.0000
Te 0.0000 0.0000 0.5000
Pb 0.5000 0.5000 0.5000
Cl 0.0000 0.0000 0.0000


No. 11
Compound: La2TlPbCl
Source: Alexandria via LeMat-Bulk
Functional: GGA-PBE
Structure: relaxed

Output
* calculated density: 5.45 Mg/m³
* E_form (uncorrected): 0.04 eV per atom

Cell lengths 6.2362, 6.2362, 5.6813 Å; angles 90.00, 90.00, 90.00 degrees
Fractional positions:
La 0.0000 0.5000 0.0000
La 0.5000 0.0000 0.0000
Tl 0.0000 0.0000 0.5000
Pb 0.0000 0.0000 0.0000
Cl 0.5000 0.5000 0.5000


No. 12
Compound: LaTlPb2Cl8
Source: Alexandria via LeMat-Bulk
Functional: GGA-PBE
Structure: relaxed

Output
* calculated density: 4.09 Mg/m³
* E_form (uncorrected): -1.53 eV per atom

Cell lengths 6.7048, 9.0506, 6.9631 Å; angles 90.00, 90.61, 90.00 degrees
Fractional positions:
La 0.0000 0.0000 0.0000
Tl 0.0000 0.5000 0.0000
Pb 0.5000 0.2548 0.5000
Pb 0.5000 0.7452 0.5000
Cl 0.2337 0.2218 0.1673
Cl 0.2337 0.7782 0.1673
Cl 0.2584 0.0000 0.6803
Cl 0.2813 0.5000 0.6396
Cl 0.7187 0.5000 0.3604
Cl 0.7416 0.0000 0.3197
Cl 0.7663 0.2218 0.8327
Cl 0.7663 0.7782 0.8327


No. 13
Compound: La2PdCl2
Source: Alexandria via LeMat-Bulk
Functional: GGA-PBE
Structure: relaxed

Output
* calculated density: 5.61 Mg/m³
* E_form (uncorrected): -1.16 eV per atom
* excess energy over the best structure of this formula in the dataset: 2.02 eV per formula unit

Cell lengths 5.4433, 5.4433, 9.0867 Å; angles 90.00, 90.00, 90.00 degrees
Fractional positions:
La 0.0000 0.5000 0.2500
La 0.0000 0.5000 0.7500
La 0.5000 0.0000 0.2500
La 0.5000 0.0000 0.7500
Pd 0.0000 0.0000 0.0000
Pd 0.5000 0.5000 0.5000
Cl 0.0000 0.0000 0.3374
Cl 0.0000 0.0000 0.6626
Cl 0.5000 0.5000 0.1626
Cl 0.5000 0.5000 0.8374


No. 14
Compound: La4Pd2Cl3
Source: Alexandria via LeMat-Bulk
Functional: GGA-PBE
Structure: relaxed

Output
* calculated density: 5.28 Mg/m³
* E_form (uncorrected): -1.39 eV per atom

Cell lengths 4.2263, 4.2263, 17.7767 Å; angles 90.10, 90.10, 59.98 degrees
Fractional positions:
La 0.0021 0.0021 0.3077
La 0.3340 0.3340 0.1157
La 0.6660 0.6660 0.8843
La 0.9979 0.9979 0.6923
Pd 0.3320 0.3320 0.7914
Pd 0.6680 0.6680 0.2086
Cl 0.0000 0.0000 0.0000
Cl 0.3358 0.3358 0.4039
Cl 0.6642 0.6642 0.5961


No. 15
Compound: La4PdCl2
Source: Alexandria via LeMat-Bulk
Functional: GGA-PBE
Structure: relaxed

Output
* calculated density: 6.05 Mg/m³
* E_form (uncorrected): -1.11 eV per atom

Cell lengths 7.1317, 7.1317, 14.7586 Å; angles 90.00, 90.00, 147.59 degrees
Fractional positions:
La 0.0000 0.0000 0.0000
La 0.0000 0.0000 0.5000
La 0.2922 0.7078 0.6231
La 0.2922 0.7078 0.8769
La 0.4452 0.5548 0.2500
La 0.5548 0.4452 0.7500
La 0.7078 0.2922 0.1231
La 0.7078 0.2922 0.3769
Pd 0.1057 0.8943 0.2500
Pd 0.8943 0.1057 0.7500
Cl 0.3600 0.6400 0.0677
Cl 0.3600 0.6400 0.4323
Cl 0.6400 0.3600 0.5677
Cl 0.6400 0.3600 0.9323


No. 16
Compound: LaPd3Cl
Source: Alexandria via LeMat-Bulk
Functional: GGA-PBE
Structure: relaxed

Output
* calculated density: 5.72 Mg/m³
* E_form (uncorrected): 0.46 eV per atom
* excess energy over the best structure of this formula in the dataset: 3.10 eV per formula unit

Cell lengths 5.2315, 5.2315, 5.2315 Å; angles 90.00, 90.00, 90.00 degrees
Fractional positions:
La 0.0000 0.0000 0.0000
Pd 0.0000 0.0000 0.5000
Pd 0.0000 0.5000 0.0000
Pd 0.5000 0.0000 0.0000
Cl 0.5000 0.5000 0.5000


No. 17
Compound: La2PdCl2
Source: Alexandria via LeMat-Bulk
Functional: GGA-PBE
Structure: relaxed

Output
* calculated density: 6.37 Mg/m³
* E_form (uncorrected): -1.22 eV per atom
* excess energy over the best structure of this formula in the dataset: 1.74 eV per formula unit

Cell lengths 8.2586, 8.2586, 3.4804 Å; angles 90.00, 90.00, 90.00 degrees
Fractional positions:
La 0.1788 0.3212 0.0000
La 0.3212 0.8212 0.0000
La 0.6788 0.1788 0.0000
La 0.8212 0.6788 0.0000
Pd 0.0000 0.0000 0.5000
Pd 0.5000 0.5000 0.5000
Cl 0.1235 0.6235 0.5000
Cl 0.3765 0.1235 0.5000
Cl 0.6235 0.8765 0.5000
Cl 0.8765 0.3765 0.5000


No. 18
Compound: La6Pd2Cl
Source: Alexandria via LeMat-Bulk
Functional: GGA-PBE
Structure: relaxed

Output
* calculated density: 6.44 Mg/m³
* E_form (uncorrected): -0.70 eV per atom

Cell lengths 6.8952, 7.5790, 12.6548 Å; angles 90.00, 122.55, 90.00 degrees
Fractional positions:
La 0.0759 0.1842 0.4271
La 0.0759 0.3158 0.9271
La 0.2597 0.6634 0.4308
La 0.2597 0.8366 0.9308
La 0.4125 0.0384 0.2460
La 0.4125 0.4616 0.7460
La 0.5875 0.5384 0.2540
La 0.5875 0.9616 0.7540
La 0.7403 0.1634 0.0692
La 0.7403 0.3366 0.5692
La 0.9241 0.6842 0.0729
La 0.9241 0.8158 0.5729
Pd 0.1730 0.1244 0.7447
Pd 0.1730 0.3756 0.2447
Pd 0.8270 0.6244 0.7553
Pd 0.8270 0.8756 0.2553
Cl 0.5000 0.0000 0.5000
Cl 0.5000 0.5000 0.0000


No. 19
Compound: La4PdCl5
Source: Alexandria via LeMat-Bulk
Functional: GGA-PBE
Structure: relaxed

Output
* calculated density: 4.38 Mg/m³
* E_form (uncorrected): -1.74 eV per atom

Cell lengths 9.4952, 9.4952, 8.7424 Å; angles 101.01, 101.01, 24.30 degrees
Fractional positions:
La 0.0043 0.0043 0.2311
La 0.3272 0.3272 0.9326
La 0.6728 0.6728 0.0674
La 0.9957 0.9957 0.7689
Pd 0.5000 0.5000 0.0000
Cl 0.1604 0.1604 0.8113
Cl 0.1652 0.1652 0.3077
Cl 0.5000 0.5000 0.5000
Cl 0.8348 0.8348 0.6923
Cl 0.8396 0.8396 0.1887


No. 20
Compound: La5PdCl5
Source: Alexandria via LeMat-Bulk
Functional: GGA-PBE
Structure: relaxed

Output
* calculated density: 5.34 Mg/m³
* E_form (uncorrected): -1.57 eV per atom

Cell lengths 7.1399, 7.1399, 8.4185 Å; angles 107.25, 107.25, 48.51 degrees
Fractional positions:
La 0.0000 0.0000 0.0000
La 0.3212 0.3212 0.1566
La 0.3361 0.3361 0.6721
La 0.6639 0.6639 0.3279
La 0.6788 0.6788 0.8434
Pd 0.5000 0.5000 0.0000
Cl 0.1544 0.1544 0.3487
Cl 0.1551 0.1551 0.8075
Cl 0.5000 0.5000 0.5000
Cl 0.8449 0.8449 0.1925
Cl 0.8456 0.8456 0.6513


No. 21
Compound: LaPdCl3
Source: Alexandria via LeMat-Bulk
Functional: GGA-PBE
Structure: relaxed

Output
* calculated density: 3.42 Mg/m³
* E_form (uncorrected): -1.20 eV per atom
* excess energy over the best structure of this formula in the dataset: 0.00 eV per formula unit

Cell lengths 5.5453, 5.5453, 5.5453 Å; angles 90.00, 90.00, 90.00 degrees
Fractional positions:
La 0.0000 0.0000 0.0000
Pd 0.5000 0.5000 0.5000
Cl 0.0000 0.0000 0.5000
Cl 0.0000 0.5000 0.0000
Cl 0.5000 0.0000 0.0000


No. 22
Compound: La3PdCl3
Source: Alexandria via LeMat-Bulk
Functional: GGA-PBE
Structure: relaxed

Output
* calculated density: 4.78 Mg/m³
* E_form (uncorrected): -1.59 eV per atom

Cell lengths 10.4332, 10.4332, 10.4332 Å; angles 109.47, 109.47, 109.47 degrees
Fractional positions:
La 0.0076 0.0152 0.2576
La 0.0076 0.4924 0.7500
La 0.0152 0.2576 0.0076
La 0.2424 0.2576 0.7500
La 0.2424 0.4848 0.4924
La 0.2576 0.0076 0.0152
La 0.2576 0.7500 0.2424
La 0.4848 0.4924 0.2424
La 0.4924 0.2424 0.4848
La 0.4924 0.7500 0.0076
La 0.7500 0.0076 0.4924
La 0.7500 0.2424 0.2576
Pd 0.0000 0.2500 0.5000
Pd 0.2500 0.2500 0.2500
Pd 0.2500 0.5000 0.0000
Pd 0.5000 0.0000 0.2500
Cl 0.2500 0.7511 0.7489
Cl 0.2500 0.9989 0.5011
Cl 0.5011 0.2500 0.9989
Cl 0.5011 0.7511 0.5022
Cl 0.5022 0.5011 0.7511
Cl 0.7489 0.2500 0.7511
Cl 0.7489 0.9989 0.9978
Cl 0.7511 0.5022 0.5011
Cl 0.7511 0.7489 0.2500
Cl 0.9978 0.7489 0.9989
Cl 0.9989 0.5011 0.2500
Cl 0.9989 0.9978 0.7489